! PBE KFeCuSe2, optimized geometry; values from VASP
! - Formation energy without anion corrections: -0.5213 eV/atom
! - Space group: I-4m2
&SYSTEM
  ibrav = 0, nat = 5, ntyp = 4
/
ATOMIC_SPECIES
K 39.10 K.upf
Fe 55.84 Fe.upf
Cu 63.55 Cu.upf
Se 78.96 Se.upf
CELL_PARAMETERS angstrom
-3.1770 6.8322 -0.2155
-6.8508 2.8337 1.3623
5.7236 -4.4176 2.1317
ATOMIC_POSITIONS crystal
K 0.0000 0.0000 0.0000
Fe 0.7500 0.2500 0.5000
Cu 0.2500 0.7500 0.5000
Se 0.6435 0.6435 0.0000
Se 0.3565 0.3565 0.0000